## Be3AlAg (PBE-GGA)

Data for a relaxed structure of Be3AlAg.

Unit cell a=4.312 b=4.312 c=4.312 alpha=90.00 beta=90.00 gamma=90.00
Space group Pm-3m (No. 221)
Asymmetric unit:
Be 0.000 0.000 0.500 (multiplicity 3)
Al 0.000 0.000 0.000 (multiplicity 1)
Ag 0.500 0.500 0.500 (multiplicity 1)

## Properties
Formation energy, eV per atom: 1.0524
Raw total energy, eV/cell: -12.5